No. 1
This record from the Alexandria database describes a geometry-optimized La4Al2Zn structure. The functional is GGA-PBE.

- formation energy (meV per atom) = -240

Unit cell a=5.332 b=5.332 c=9.117 alpha=73.00 beta=73.00 gamma=60.00
Fractional positions:
Zn1 0.000 0.000 0.000
Al1 0.747 0.747 0.758
Al2 0.253 0.253 0.242
La1 0.873 0.873 0.382
La2 0.127 0.127 0.618
La3 0.621 0.621 0.137
La4 0.379 0.379 0.863

=====

No. 2
This record from the Alexandria database describes a geometry-optimized LaAl5Zn7 structure. The functional is GGA-PBE.

- formation energy (meV per atom) = -155

Unit cell a=5.593 b=6.940 c=6.940 alpha=81.55 beta=66.24 gamma=66.24
Fractional positions:
La1 0.003 0.997 0.997
Al1 0.497 0.005 0.497
Al2 0.001 0.005 0.497
Al3 0.497 0.497 0.005
Al4 0.001 0.497 0.005
Al5 0.723 0.777 0.777
Zn1 0.644 0.356 0.356
Zn2 0.356 0.644 0.644
Zn3 0.998 0.358 0.646
Zn4 0.998 0.646 0.358
Zn5 0.282 0.218 0.218
Zn6 0.500 0.783 0.216
Zn7 0.500 0.216 0.783